# 1
# Sm2CdRh2 | Alexandria via LeMat-Bulk | PBE | relaxed
data_Sm2CdRh2
_chemical_formula_sum 'Sm4 Cd2 Rh4'
_space_group_name_H-M_alt 'P 1'
_space_group_IT_number 1
_space_group_name_Hall 'P 1'
_cell_length_a 3.8148
_cell_length_b 7.6362
_cell_length_c 7.6362
_cell_angle_alpha 90.00
_cell_angle_beta 90.00
_cell_angle_gamma 90.00
loop_
_atom_site_label
_atom_site_fract_x
_atom_site_fract_y
_atom_site_fract_z
Sm1 0.5000 0.8344 0.3344
Sm2 0.5000 0.3344 0.1656
Sm3 0.5000 0.1656 0.6656
Sm4 0.5000 0.6656 0.8344
Rh1 0.0000 0.1355 0.3645
Rh2 0.0000 0.3645 0.8645
Rh3 0.0000 0.8645 0.6355
Rh4 0.0000 0.6355 0.1355
Cd1 0.0000 0.0000 0.0000
Cd2 0.0000 0.5000 0.5000
# - Spin magnetization: 0.00 Bohr magnetons per cell
# - Formation energy from the elements: -310 kJ/mol of formula units

# 2
# Sm5CdRh2 | Alexandria via LeMat-Bulk | PBE | relaxed
data_Sm5CdRh2
_chemical_formula_sum 'Sm10 Cd2 Rh4'
_space_group_name_H-M_alt 'P 1'
_space_group_IT_number 1
_space_group_name_Hall 'P 1'
_cell_length_a 7.9592
_cell_length_b 7.9592
_cell_length_c 8.8358
_cell_angle_alpha 116.77
_cell_angle_beta 116.77
_cell_angle_gamma 90.00
loop_
_atom_site_label
_atom_site_fract_x
_atom_site_fract_y
_atom_site_fract_z
Rh1 0.8620 0.6380 0.0000
Rh2 0.6380 0.1380 0.0000
Rh3 0.3620 0.8620 0.0000
Rh4 0.1380 0.3620 0.0000
Sm1 0.7045 0.2045 0.7311
Sm2 0.0266 0.5266 0.7311
Sm3 0.2045 0.0266 0.7311
Sm4 0.2955 0.7955 0.2689
Sm5 0.7955 0.9734 0.2689
Sm6 0.5000 0.5000 0.0000
Sm7 0.4734 0.2955 0.2689
Sm8 0.0000 0.0000 0.0000
Sm9 0.9734 0.4734 0.2689
Sm10 0.5266 0.7045 0.7311
Cd1 0.2500 0.2500 0.5000
Cd2 0.7500 0.7500 0.5000
# - Spin magnetization: 0.00 Bohr magnetons per cell
# - Formation energy from the elements: -393 kJ/mol of formula units

# 3
# Sm5CdRh6 | Alexandria via LeMat-Bulk | PBE | relaxed
data_Sm5CdRh6
_chemical_formula_sum 'Sm5 Cd1 Rh6'
_space_group_name_H-M_alt 'P 1'
_space_group_IT_number 1
_space_group_name_Hall 'P 1'
_cell_length_a 4.8562
_cell_length_b 6.9601
_cell_length_c 7.6872
_cell_angle_alpha 90.00
_cell_angle_beta 71.59
_cell_angle_gamma 90.00
loop_
_atom_site_label
_atom_site_fract_x
_atom_site_fract_y
_atom_site_fract_z
Rh1 0.8319 0.7520 0.3361
Rh2 0.5000 0.7423 0.0000
Rh3 0.8319 0.2480 0.3361
Rh4 0.1681 0.7520 0.6639
Rh5 0.1681 0.2480 0.6639
Rh6 0.5000 0.2577 0.0000
Sm1 0.0000 0.5000 0.0000
Sm2 0.3337 0.5000 0.3326
Sm3 0.6663 0.5000 0.6674
Sm4 0.3422 0.0000 0.3155
Sm5 0.6578 0.0000 0.6845
Cd1 0.0000 0.0000 0.0000
# - Spin magnetization: 0.00 Bohr magnetons per cell
# - Formation energy from the elements: -754 kJ/mol of formula units

# 4
# SmCd8Rh4 | Alexandria via LeMat-Bulk | PBE | relaxed
data_SmCd8Rh4
_chemical_formula_sum 'Sm1 Cd8 Rh4'
_space_group_name_H-M_alt 'P 1'
_space_group_IT_number 1
_space_group_name_Hall 'P 1'
_cell_length_a 5.8761
_cell_length_b 7.2489
_cell_length_c 7.2489
_cell_angle_alpha 80.54
_cell_angle_beta 66.09
_cell_angle_gamma 66.09
loop_
_atom_site_label
_atom_site_fract_x
_atom_site_fract_y
_atom_site_fract_z
Rh1 0.0000 0.0000 0.5000
Rh2 0.5000 0.0000 0.5000
Rh3 0.0000 0.5000 0.0000
Rh4 0.5000 0.5000 0.0000
Sm1 0.0000 0.0000 0.0000
Cd1 0.2769 0.2231 0.2231
Cd2 0.6674 0.3326 0.3326
Cd3 0.5000 0.2231 0.7769
Cd4 0.0000 0.6674 0.3326
Cd5 0.0000 0.3326 0.6674
Cd6 0.5000 0.7769 0.2231
Cd7 0.7231 0.7769 0.7769
Cd8 0.3326 0.6674 0.6674
# - Spin magnetization: 0.00 Bohr magnetons per cell
# - Formation energy from the elements: -277 kJ/mol of formula units

# 5
# Sm5Cd4Rh | Alexandria via LeMat-Bulk | PBE | relaxed
data_Sm5Cd4Rh
_chemical_formula_sum 'Sm5 Cd4 Rh1'
_space_group_name_H-M_alt 'P 1'
_space_group_IT_number 1
_space_group_name_Hall 'P 1'
_cell_length_a 3.6958
_cell_length_b 3.6958
_cell_length_c 19.3057
_cell_angle_alpha 90.00
_cell_angle_beta 90.00
_cell_angle_gamma 90.00
loop_
_atom_site_label
_atom_site_fract_x
_atom_site_fract_y
_atom_site_fract_z
Cd1 0.0000 0.0000 0.3968
Cd2 0.0000 0.0000 0.8078
Cd3 0.0000 0.0000 0.1922
Cd4 0.0000 0.0000 0.6032
Rh1 0.0000 0.0000 0.0000
Sm1 0.5000 0.5000 0.2935
Sm2 0.5000 0.5000 0.5000
Sm3 0.5000 0.5000 0.9161
Sm4 0.5000 0.5000 0.7065
Sm5 0.5000 0.5000 0.0839
# - Spin magnetization: 0.30 Bohr magnetons per cell
# - Formation energy from the elements: -385 kJ/mol of formula units

# 6
# Sm11Cd9Rh4 | Alexandria via LeMat-Bulk | PBE | relaxed
data_Sm11Cd9Rh4
_chemical_formula_sum 'Sm11 Cd9 Rh4'
_space_group_name_H-M_alt 'P 1'
_space_group_IT_number 1
_space_group_name_Hall 'P 1'
_cell_length_a 3.7714
_cell_length_b 13.2307
_cell_length_c 13.2307
_cell_angle_alpha 112.77
_cell_angle_beta 90.00
_cell_angle_gamma 90.00
loop_
_atom_site_label
_atom_site_fract_x
_atom_site_fract_y
_atom_site_fract_z
Sm1 0.0000 0.3067 0.3067
Sm2 0.0000 0.3722 0.6278
Sm3 0.0000 0.5842 0.9197
Sm4 0.0000 0.8384 0.1616
Sm5 0.0000 0.0000 0.0000
Sm6 0.0000 0.6278 0.3722
Sm7 0.0000 0.6933 0.6933
Sm8 0.0000 0.9197 0.5842
Sm9 0.0000 0.1616 0.8384
Sm10 0.0000 0.4158 0.0803
Sm11 0.0000 0.0803 0.4158
Cd1 0.5000 0.1569 0.6340
Cd2 0.5000 0.7852 0.9282
Cd3 0.5000 0.0718 0.2148
Cd4 0.5000 0.3660 0.8431
Cd5 0.5000 0.2148 0.0718
Cd6 0.5000 0.6340 0.1569
Cd7 0.5000 0.8431 0.3660
Cd8 0.5000 0.5000 0.5000
Cd9 0.5000 0.9282 0.7852
Rh1 0.5000 0.5486 0.7491
Rh2 0.5000 0.4514 0.2509
Rh3 0.5000 0.7491 0.5486
Rh4 0.5000 0.2509 0.4514
# - Spin magnetization: 0.38 Bohr magnetons per cell
# - Formation energy from the elements: -1175 kJ/mol of formula units

# 7
# SmCd9Rh3 | Alexandria via LeMat-Bulk | PBE | relaxed
data_SmCd9Rh3
_chemical_formula_sum 'Sm1 Cd9 Rh3'
_space_group_name_H-M_alt 'P 1'
_space_group_IT_number 1
_space_group_name_Hall 'P 1'
_cell_length_a 5.7764
_cell_length_b 7.4762
_cell_length_c 7.3020
_cell_angle_alpha 81.05
_cell_angle_beta 66.70
_cell_angle_gamma 66.85
loop_
_atom_site_label
_atom_site_fract_x
_atom_site_fract_y
_atom_site_fract_z
Rh1 0.5000 0.5000 0.0000
Rh2 0.0000 0.0000 0.5000
Rh3 0.5000 0.0000 0.5000
Cd1 0.0060 0.6719 0.3461
Cd2 0.6479 0.3281 0.3461
Cd3 0.0000 0.5000 0.0000
Cd4 0.2867 0.2135 0.2212
Cd5 0.9940 0.3281 0.6539
Cd6 0.3521 0.6719 0.6539
Cd7 0.5079 0.2135 0.7788
Cd8 0.4921 0.7865 0.2212
Cd9 0.7133 0.7865 0.7788
Sm1 0.0000 0.0000 0.0000
# - Spin magnetization: 0.00 Bohr magnetons per cell
# - Formation energy from the elements: -242 kJ/mol of formula units

# 8
# Sm2CdRh | Alexandria via LeMat-Bulk | PBE | relaxed
data_Sm2CdRh
_chemical_formula_sum 'Sm2 Cd1 Rh1'
_space_group_name_H-M_alt 'P 1'
_space_group_IT_number 1
_space_group_name_Hall 'P 1'
_cell_length_a 4.0728
_cell_length_b 4.0728
_cell_length_c 8.2415
_cell_angle_alpha 75.69
_cell_angle_beta 75.69
_cell_angle_gamma 60.00
loop_
_atom_site_label
_atom_site_fract_x
_atom_site_fract_y
_atom_site_fract_z
Cd1 0.5007 0.5007 0.4979
Sm1 0.2683 0.2683 0.1951
Sm2 0.0654 0.0654 0.8038
Rh1 0.6656 0.6656 0.0032
# - Spin magnetization: 0.00 Bohr magnetons per cell
# - Formation energy from the elements: -170 kJ/mol of formula units
# - Relative energy among the computed polymorphs: 92.7 meV/atom